Density functional theory data (PBE) for an optimized crystal structure of LiTa2Ru.

abc: 2.829 4.363 5.274
angles: 90.00 101.80 90.00
Space group Pm (No. 6)
Inequivalent atoms, fractional coordinates:
Li 0.000 0.000 0.000 [1 per cell]
Ta 0.324 0.500 0.771 [1 per cell]
Ta 0.621 0.000 0.472 [1 per cell]
Ru 0.848 0.500 0.259 [1 per cell]

Properties
DOS at the Fermi energy: 0.7660 states/eV/atom
VASP energy: -34.52 eV for the cell shown

=====

Density functional theory data (PBE) for an optimized crystal structure of Ca3OsAu.

abc: 5.398 5.398 5.398
angles: 90.00 90.00 90.00
Space group Pm-3m (No. 221)
Inequivalent atoms, fractional coordinates:
Ca 0.000 0.000 0.500 [3 per cell]
Os 0.000 0.000 0.000 [1 per cell]
Au 0.500 0.500 0.500 [1 per cell]

Properties
Energy above the lowest structure with this stoichiometry: 0.000 eV per atom
DOS at the Fermi energy: 1.2391 states/eV/atom
VASP energy: -19.11 eV for the cell shown